1.
La2TcGe2 PBEsol relaxed; Fermi-level density of states = 0.6831 states/eV/atom; DFT formation energy = -0.01 eV per atom
1.0
-1.603 -2.881 1.400
2.797 -0.496 2.182
-4.531 6.904 4.438
La Tc Ge
2 1 2
direct
0.594 0.594 0.188
0.406 0.406 0.812
0.000 0.000 0.000
0.250 0.750 0.500
0.750 0.250 0.500

2.
Mg2HgSbIr PBEsol relaxed; raw formation energy = -0.0983 eV/atom; Fermi-level density of states = 0.2379 states/eV/atom
1.0
-2.756 -2.162 -3.369
-3.301 -1.441 3.625
-2.612 4.344 -0.651
Ir Sb Mg Hg
1 1 2 1
direct
0.000 0.000 0.000
0.500 0.000 0.000
0.000 0.000 0.500
0.000 0.500 0.000
0.500 0.500 0.500

3.
BiRuO2F PBEsol relaxed; raw formation energy = -0.7204 eV/atom; Fermi-level density of states = 0.8393 states/eV/atom
1.0
3.946 0.000 0.000
0.000 3.946 0.000
0.000 0.000 4.139
O Ru F Bi
2 1 1 1
direct
0.000 0.500 0.000
0.500 0.000 0.000
0.000 0.000 0.000
0.000 0.000 0.500
0.500 0.500 0.500

4.
ZnNiAu2 PBEsol relaxed; Fermi-level density of states = 0.4002 states/eV/atom; DFT formation energy = -0.11 eV per atom
1.0
2.863 0.000 0.000
0.000 2.863 0.000
0.000 0.000 6.998
Au Ni Zn
2 1 1
direct
0.000 0.000 0.978
0.500 0.500 0.279
0.000 0.000 0.523
0.500 0.500 0.721

5.
Dy3Se3N PBEsol relaxed; raw formation energy = -1.8974 eV/atom
1.0
-0.184 -3.494 -1.717
-1.675 -5.337 11.040
-12.815 1.317 -1.307
Se Dy N
12 12 4
direct
0.250 0.370 0.495
0.750 0.902 0.604
0.750 0.402 0.896
0.250 0.276 0.187
0.750 0.130 0.995
0.750 0.224 0.687
0.250 0.598 0.104
0.750 0.724 0.813
0.750 0.630 0.505
0.250 0.870 0.005
0.250 0.776 0.313
0.250 0.098 0.396
0.750 0.457 0.650
0.250 0.063 0.633
0.750 0.937 0.367
0.750 0.796 0.142
0.750 0.296 0.358
0.750 0.957 0.850
0.250 0.543 0.350
0.250 0.043 0.150
0.250 0.704 0.642
0.250 0.563 0.867
0.250 0.204 0.858
0.750 0.437 0.133
0.750 0.964 0.203
0.250 0.036 0.797
0.250 0.536 0.703
0.750 0.464 0.297

6.
In2OsPb PBEsol relaxed; Fermi-level density of states = 0.8325 states/eV/atom; DFT formation energy = 0.39 eV per atom
1.0
3.131 0.000 0.000
-1.566 4.876 -0.034
0.000 -2.639 6.314
Os In Pb
1 2 1
direct
0.542 0.084 0.371
0.987 0.974 0.025
0.813 0.626 0.367
0.158 0.316 0.737

| no. | DFT total energy (Ry/atom) |
| --- | --- |
| 1 | -0.4684 |
| 2 | -0.2774 |
| 3 | -0.4481 |
| 4 | -0.2945 |
| 5 | -0.5071 |
| 6 | -0.3787 |